Compound: Rb4Pr3ScO8
Source: Alexandria
Functional: PBE-GGA
Structure: relaxed

Calculated values
energy relative to the elements, uncorrected = -40.27 eV per formula unit
energy = -6.5295 eV/atom
space group = R-3m (166)

POSCAR file:
```
Rb4Pr3ScO8
1.0
3.6041 2.0808 6.5903
-3.6041 2.0808 6.5903
0.0000 -4.1617 6.5903
Rb Pr Sc O
4 3 1 8
direct
0.0000 0.0000 0.0000
0.0000 0.5000 0.5000
0.5000 0.0000 0.5000
0.5000 0.5000 0.0000
0.0000 0.0000 0.5000
0.0000 0.5000 0.0000
0.5000 0.0000 0.0000
0.5000 0.5000 0.5000
0.2281 0.2281 0.2281
0.2475 0.7143 0.7143
0.2857 0.2857 0.7525
0.2857 0.7525 0.2857
0.7143 0.2475 0.7143
0.7143 0.7143 0.2475
0.7525 0.2857 0.2857
0.7719 0.7719 0.7719
```